Compound: BaPdSe
Source: Alexandria
Functional: PBE
Structure: optimized geometry Values from VASP.

## Properties
Formation energy from raw total energies (eV per formula unit): -3.7
SG: P6_3/mmc
Spin magnetization (Bohr magnetons per cell): 0.0
Fermi-level density of states (states/eV/cell): 0.0

The structure in Quantum ESPRESSO input format:
```
&SYSTEM
  ibrav = 0, nat = 6, ntyp = 3
/
ATOMIC_SPECIES
Pd 106.42 Pd.upf
Ba 137.33 Ba.upf
Se 78.96 Se.upf
ATOMIC_POSITIONS angstrom
Pd -1.6242 -0.5698 2.9713
Pd -0.7965 3.2773 6.2760
Ba -1.5878 2.8639 2.9602
Ba 0.0000 0.0000 0.0000
Se -3.2120 2.2941 5.9315
Se 0.7914 0.4134 3.3158
CELL_PARAMETERS angstrom
-3.2458 -2.9849 1.1468
4.0008 -0.0353 2.1801
-3.1756 5.7277 5.9204
```